LaGe2Pb2: optimized geometry, PBE-GGA.

a = 8.4085 Å, b = 8.4085 Å, c = 3.8939 Å
α = 90.00°, β = 90.00°, γ = 90.00°
Space group P4/mbm (No. 127)
Symmetry-distinct sites (fractional):
La 0.0000 0.0000 0.0000 (multiplicity 2)
Ge 0.1598 0.3402 0.5000 (multiplicity 4)
Pb 0.1326 0.6326 0.0000 (multiplicity 4)

Summary:
Density ... 8.427 g/cm³
Calculated total energy ... -4.3297 eV/atom